[1]
A geometry-optimized Dy2Er3Sc3 structure. Source: Alexandria, functional PBE. Values from VASP.

## Properties
**Calculated volume**: 227 Å³ per cell
**ΔE to the lowest computed polymorph**: 22 meV per atom
**M_tot**: 0.000 μB/atom
**DFT formation energy**: 0.049 eV per atom

Geometry as Quantum ESPRESSO input:
```
&SYSTEM
  ibrav = 0, nat = 8, ntyp = 3
/
ATOMIC_SPECIES
Dy 162.50 Dy.upf
Er 167.26 Er.upf
Sc 44.96 Sc.upf
CELL_PARAMETERS angstrom
4.8000 0.0000 0.0000
0.0000 4.8802 0.0000
-2.4000 -2.4401 9.6961
ATOMIC_POSITIONS angstrom
Dy 2.4000 0.0000 4.8308
Dy 0.0000 2.4401 4.8653
Er 2.4000 2.4401 2.3603
Er 0.0000 0.0000 7.3357
Er 2.4000 0.0000 0.0000
Sc 0.0000 0.0000 2.3878
Sc 0.0000 2.4401 0.0000
Sc 2.4000 2.4401 7.3083
```



[2]
A geometry-optimized Dy2Er4Sc3 structure. Source: Alexandria, functional PBE. Values from VASP.

## Properties
**Calculated volume**: 516 Å³ per cell
**ΔE to the lowest computed polymorph**: 44 meV per atom
**M_tot**: 0.000 μB/atom
**DFT formation energy**: 0.111 eV per atom

Geometry as Quantum ESPRESSO input:
```
&SYSTEM
  ibrav = 0, nat = 18, ntyp = 3
/
ATOMIC_SPECIES
Dy 162.50 Dy.upf
Er 167.26 Er.upf
Sc 44.96 Sc.upf
CELL_PARAMETERS angstrom
-2.8739 1.8890 -4.9209
3.4674 -6.9580 -5.4904
-6.2475 -7.1793 0.0980
ATOMIC_POSITIONS angstrom
Dy -0.8386 -8.3796 -4.9985
Dy -0.6054 -4.7500 -4.4495
Dy -4.8154 -3.8687 -5.3148
Dy -5.0486 -7.4982 -5.8637
Er -6.2004 -5.4988 -2.9398
Er -7.8521 -5.9636 -5.8294
Er 0.5464 -6.7495 -7.3735
Er 2.1981 -6.2847 -4.4839
Er -2.5021 -8.8407 -7.8796
Er -1.8408 -2.4004 -6.4749
Er -3.1518 -3.4075 -2.4337
Er -3.8132 -9.8479 -3.8384
Sc -1.6051 -11.6038 -5.4608
Sc -0.7012 -1.5454 -3.4912
Sc -4.0488 -0.6444 -4.8525
Sc -4.9528 -10.7028 -6.8221
Sc -3.0678 -6.6182 -3.3746
Sc -2.5862 -5.6300 -6.9387
```



[3]
A geometry-optimized Dy2Er5Sc2 structure. Source: Alexandria, functional PBE. Values from VASP.

## Properties
**Calculated volume**: 269 Å³ per cell
**ΔE to the lowest computed polymorph**: 0 meV per atom
**M_tot**: 0.000 μB/atom
**DFT formation energy**: 0.106 eV per atom

Geometry as Quantum ESPRESSO input:
```
&SYSTEM
  ibrav = 0, nat = 9, ntyp = 3
/
ATOMIC_SPECIES
Dy 162.50 Dy.upf
Er 167.26 Er.upf
Sc 44.96 Sc.upf
CELL_PARAMETERS angstrom
-1.4536 -2.8299 -1.2540
-0.7009 -4.9547 7.3312
-8.8850 -0.5174 6.8042
ATOMIC_POSITIONS angstrom
Dy -4.5637 -1.8216 4.7382
Dy -6.4758 -6.4804 8.1433
Er -2.4556 -1.5912 1.7748
Er -8.5839 -6.7108 11.1067
Er -1.5358 -3.3134 4.5952
Er -9.5037 -4.9885 8.2863
Er 0.0000 0.0000 0.0000
Sc -6.9743 -3.4482 6.5408
Sc -4.0652 -4.8538 6.3407
```



[4]
A geometry-optimized Dy6Er2Sc5 structure. Source: Alexandria, functional PBE. Values from VASP.

## Properties
**Calculated volume**: 757 Å³ per cell
**M_tot**: 0.000 μB/atom
**DFT formation energy**: 0.119 eV per atom

Geometry as Quantum ESPRESSO input:
```
&SYSTEM
  ibrav = 0, nat = 26, ntyp = 3
/
ATOMIC_SPECIES
Dy 162.50 Dy.upf
Er 167.26 Er.upf
Sc 44.96 Sc.upf
CELL_PARAMETERS angstrom
-3.4278 -0.5272 0.1095
1.7246 -11.1816 0.1538
0.5614 0.3515 19.2620
ATOMIC_POSITIONS angstrom
Dy 0.3568 -0.8536 7.0596
Dy 1.9291 -9.9765 12.3562
Dy 1.0891 -6.5258 2.6753
Dy 1.1969 -4.3043 16.7404
Dy -1.0777 -3.8868 2.5256
Dy -0.0641 -7.4704 16.9996
Dy -0.0758 -9.3902 7.3926
Dy -1.0660 -1.9671 12.1326
Dy 1.1964 -6.0812 8.1738
Dy 1.0895 -4.7489 11.2419
Dy 0.1434 -0.6099 1.5516
Dy 2.1426 -10.2202 17.8642
Er 0.7575 -3.7699 5.5624
Er 1.5285 -7.0602 13.8534
Er 1.5794 -9.3860 4.2520
Er 0.7066 -1.4440 15.1638
Sc -0.9425 -3.4833 8.7013
Sc -0.1994 -7.8740 10.8240
Sc -0.3008 -9.2122 1.2090
Sc -0.8411 -2.1451 18.3163
Sc -0.5166 -6.9223 5.4759
Sc -0.6252 -4.4349 14.0494
Sc -1.4088 -1.3502 4.3735
Sc 0.2669 -10.0070 15.1517
Sc -0.8516 -5.8544 0.1317
Sc -1.4332 -0.0878 9.6857
```



[5]
A geometry-optimized Dy7Er4Sc structure. Source: Alexandria, functional PBE. Values from VASP.

## Properties
**Calculated volume**: 371 Å³ per cell
**ΔE to the lowest computed polymorph**: 0 meV per atom
**M_tot**: 0.000 μB/atom
**DFT formation energy**: 0.101 eV per atom

Geometry as Quantum ESPRESSO input:
```
&SYSTEM
  ibrav = 0, nat = 12, ntyp = 3
/
ATOMIC_SPECIES
Dy 162.50 Dy.upf
Er 167.26 Er.upf
Sc 44.96 Sc.upf
CELL_PARAMETERS angstrom
6.5671 1.2449 0.6108
4.4154 7.0624 2.1656
-1.3559 -0.5264 8.8672
ATOMIC_POSITIONS angstrom
Dy 5.8076 3.9683 9.9788
Dy 3.8189 3.8126 1.6649
Dy 7.0001 3.1432 6.9433
Dy 2.6265 4.6377 4.7003
Dy 4.6710 5.7565 7.4135
Dy 3.2836 0.6224 0.3054
Dy 4.9556 2.0244 4.2301
Er 6.0202 5.1334 4.2314
Er 3.6064 2.6474 7.4123
Er 7.8629 6.5093 8.3946
Er 1.7637 1.2715 3.2491
Sc 0.0000 0.0000 0.0000
```



[6]
A geometry-optimized Dy2Er3Sc3 structure. Source: Alexandria, functional PBE. Values from VASP.

## Properties
**Calculated volume**: 227 Å³ per cell
**ΔE to the lowest computed polymorph**: 0 meV per atom
**M_tot**: 0.000 μB/atom
**DFT formation energy**: 0.027 eV per atom

Geometry as Quantum ESPRESSO input:
```
&SYSTEM
  ibrav = 0, nat = 8, ntyp = 3
/
ATOMIC_SPECIES
Dy 162.50 Dy.upf
Er 167.26 Er.upf
Sc 44.96 Sc.upf
CELL_PARAMETERS angstrom
3.4014 -0.0003 0.6027
-0.2709 5.7278 1.5324
-0.2946 -0.0908 11.5650
ATOMIC_POSITIONS angstrom
Dy 0.6446 1.4225 6.2643
Dy 2.1912 4.2142 7.4357
Er 1.6350 5.4458 10.5789
Er 1.5652 2.8638 1.0675
Er 1.2008 0.1908 3.1212
Sc 0.0731 2.5539 9.4931
Sc 2.7628 3.0827 4.2070
Sc 0.0000 0.0000 0.0000
```



[7]
A geometry-optimized Dy7ErSc2 structure. Source: Alexandria, functional PBE. Values from VASP.

## Properties
**Calculated volume**: 365 Å³ per cell
**M_tot**: 0.001 μB/atom
**DFT formation energy**: 0.658 eV per atom

Geometry as Quantum ESPRESSO input:
```
&SYSTEM
  ibrav = 0, nat = 10, ntyp = 3
/
ATOMIC_SPECIES
Dy 162.50 Dy.upf
Er 167.26 Er.upf
Sc 44.96 Sc.upf
CELL_PARAMETERS angstrom
5.5184 0.0000 0.0000
0.0000 8.7266 -0.2225
0.0000 -4.1356 7.6877
ATOMIC_POSITIONS angstrom
Dy 0.0000 5.6482 1.6707
Dy 0.0000 -1.0572 5.7945
Dy 2.7592 -0.7022 2.2981
Dy 2.7592 5.2932 5.1671
Dy 2.7592 2.3677 0.4101
Dy 2.7592 2.2233 7.0551
Dy 2.7592 2.2955 3.7326
Er 0.0000 0.0000 0.0000
Sc 2.7592 4.9402 2.1062
Sc 2.7592 -0.3492 5.3591
```



[8]
A geometry-optimized Dy3Er2Sc3 structure. Source: Alexandria, functional PBE. Values from VASP.

## Properties
**Calculated volume**: 228 Å³ per cell
**ΔE to the lowest computed polymorph**: 0 meV per atom
**M_tot**: 0.000 μB/atom
**DFT formation energy**: 0.027 eV per atom

Geometry as Quantum ESPRESSO input:
```
&SYSTEM
  ibrav = 0, nat = 8, ntyp = 3
/
ATOMIC_SPECIES
Dy 162.50 Dy.upf
Er 167.26 Er.upf
Sc 44.96 Sc.upf
CELL_PARAMETERS angstrom
-1.5993 -1.7857 -2.4959
3.0917 -4.8442 1.4846
-7.2463 -6.1421 6.6375
ATOMIC_POSITIONS angstrom
Dy -3.4783 -10.4108 4.8787
Dy 0.7462 -3.3150 -0.5057
Dy -2.2754 -2.3612 0.7475
Er -3.1956 -4.7314 3.0331
Er -2.5582 -8.0407 2.5931
Sc -4.2305 -7.0639 5.3655
Sc -1.5233 -5.7082 0.2607
Sc 0.0000 0.0000 0.0000
```



[9]
A geometry-optimized Dy3Er2Sc5 structure. Source: Alexandria, functional PBE. Values from VASP.

## Properties
**Calculated volume**: 583 Å³ per cell
**M_tot**: 0.000 μB/atom
**DFT formation energy**: 0.219 eV per atom

Geometry as Quantum ESPRESSO input:
```
&SYSTEM
  ibrav = 0, nat = 20, ntyp = 3
/
ATOMIC_SPECIES
Dy 162.50 Dy.upf
Er 167.26 Er.upf
Sc 44.96 Sc.upf
CELL_PARAMETERS angstrom
-4.6285 -0.9554 -7.9247
10.4664 -0.6767 -0.4142
-3.3141 -5.8745 5.2015
ATOMIC_POSITIONS angstrom
Dy 5.9997 -6.7533 2.8024
Dy -3.4759 -0.7533 -5.9398
Dy 1.6538 -2.2741 -2.8248
Dy 0.8699 -5.2325 -0.3126
Dy 6.2996 -2.2672 -1.0334
Dy -3.7759 -5.2394 -2.1041
Er -6.3937 -5.2194 -3.9138
Er 8.9175 -2.2872 0.7763
Er 3.5077 -4.9753 1.4472
Er -0.9840 -2.5313 -4.5847
Sc 0.7901 -5.9538 2.9369
Sc 1.7336 -1.5527 -6.0743
Sc 6.1859 -3.5064 2.2982
Sc -1.3359 -3.2785 -1.5132
Sc -3.6622 -4.0002 -5.4356
Sc 3.8597 -4.2281 -1.6242
Sc -0.6367 -5.7413 -3.3636
Sc 3.1605 -1.7653 0.2261
Sc -2.2883 -4.9740 0.9766
Sc 4.8120 -2.5326 -4.1141
```



[10]
A geometry-optimized Dy3Er8Sc4 structure. Source: Alexandria, functional PBE. Values from VASP.

## Properties
**Calculated volume**: 452 Å³ per cell
**M_tot**: 0.041 μB/atom
**DFT formation energy**: 0.395 eV per atom

Geometry as Quantum ESPRESSO input:
```
&SYSTEM
  ibrav = 0, nat = 15, ntyp = 3
/
ATOMIC_SPECIES
Dy 162.50 Dy.upf
Er 167.26 Er.upf
Sc 44.96 Sc.upf
CELL_PARAMETERS angstrom
-5.4291 -0.7406 -3.6115
2.7098 -7.5852 4.2010
-1.5858 2.4764 8.5953
ATOMIC_POSITIONS angstrom
Dy -1.3596 -4.1629 0.2947
Dy -3.5074 0.8679 2.4919
Dy -2.1525 -2.9247 4.5924
Er -3.7945 -2.0810 1.0556
Er 1.4341 -4.5971 5.5060
Er -0.6546 -1.3264 2.3971
Er -1.0326 -5.5480 3.4467
Er -3.2725 -0.3014 5.7381
Er -3.6504 -4.5230 6.7877
Er -0.3101 -0.5117 7.2903
Er -0.5105 -3.7684 8.1292
Sc -2.7145 -0.3703 -1.8057
Sc 1.3549 -3.7926 2.1005
Sc 0.0000 0.0000 0.0000
Sc -0.7929 1.2382 4.2977
```